1.
DFT (PBE-GGA) results for a relaxed structure of Mg2ZnW.

* space-group type: F-43m, No. 216
* spin magnetization: 1.92 μB per cell
* calculated total energy: -15.11 eV per cell
* ρ: 7.16 Mg/m³
* crystal system: cubic

Cell and atoms, written as POSCAR:
```
Mg2ZnW
1.0
0.0000 3.2563 3.2563
3.2563 0.0000 3.2563
3.2563 3.2563 0.0000
Mg Zn W
2 1 1
Direct
0.0000 0.0000 0.0000
0.2500 0.2500 0.2500
0.5000 0.5000 0.5000
0.7500 0.7500 0.7500
```

=====

2.
DFT (PBE-GGA) results for a relaxed structure of H8PdS8N2O26.

* space-group type: P-1, No. 2
* calculated total energy: -254.69 eV per cell
* ρ: 2.77 Mg/m³
* crystal system: triclinic

Cell and atoms, written as POSCAR:
```
H8PdS8N2O26
1.0
7.2268 0.0000 0.0000
2.5168 7.8681 0.0000
0.1917 2.8529 8.5874
H Pd S N O
8 1 8 2 26
Direct
0.0003 0.1772 0.1362
0.9997 0.8228 0.8638
0.1257 0.6027 0.9181
0.2064 0.7438 0.9812
0.2176 0.7500 0.7949
0.7824 0.2500 0.2051
0.7936 0.2562 0.0188
0.8743 0.3973 0.0819
0.5000 0.5000 0.5000
0.1047 0.1910 0.5155
0.1965 0.2277 0.8098
0.3275 0.3559 0.2815
0.3850 0.8611 0.2172
0.6150 0.1389 0.7828
0.6725 0.6441 0.7185
0.8035 0.7723 0.1902
0.8953 0.8089 0.4845
0.1368 0.7296 0.8898
0.8632 0.2704 0.1102
0.0634 0.6945 0.5849
0.0675 0.1306 0.8784
0.1208 0.0161 0.6145
0.1393 0.3114 0.6229
0.1797 0.4063 0.1590
0.2148 0.3745 0.8514
0.2520 0.0383 0.1811
0.2860 0.4926 0.3642
0.2958 0.1727 0.4262
0.3804 0.7528 0.1212
0.4020 0.0820 0.8214
0.4114 0.7693 0.3884
0.4731 0.7193 0.7418
0.5269 0.2807 0.2582
0.5886 0.2307 0.6116
0.5980 0.9180 0.1786
0.6196 0.2472 0.8788
0.7042 0.8273 0.5738
0.7140 0.5074 0.6358
0.7480 0.9617 0.8189
0.7852 0.6255 0.1486
0.8203 0.5937 0.8410
0.8607 0.6886 0.3771
0.8792 0.9839 0.3855
0.9325 0.8694 0.1216
0.9366 0.3055 0.4151
```